Compound: Sm2ErTh2
Source: the Alexandria database
Functional: PBE
Structure: relaxed

## Properties
Magnetization   0.00 μB/cell
Symmetry   No. 127
Crystal system   tetragonal
Density of states at the Fermi level   12.59 states/eV/cell
Energy above the most stable polymorph in this dataset   2.1 meV/atom
Calculated formation energy   0.212 eV per atom
Electronic total energy   -5.556 eV per atom

Cell lengths 9.5572, 9.5572, 3.6484 Å; angles 90.00, 90.00, 90.00 degrees
Closest atoms and distances in Å follow each position.
Element x y z (fractional)
Sm 0.1277 0.3723 0.0000  6 Th 3.27-3.42, 3 Sm 3.45-3.65
Sm 0.3723 0.8723 0.0000  6 Th 3.27-3.42, 3 Sm 3.45-3.65
Sm 0.6277 0.1277 0.0000  6 Th 3.27-3.42, 3 Sm 3.45-3.65
Sm 0.8723 0.6277 0.0000  6 Th 3.27-3.42, 3 Sm 3.45-3.65
Er 0.0000 0.0000 0.0000  2 Er 3.65, 4 Sm 3.76, 8 Th 3.98
Er 0.5000 0.5000 0.0000  2 Er 3.65, 4 Sm 3.76, 8 Th 3.98
Th 0.1717 0.6717 0.5000  6 Sm 3.27-3.42, 2 Th 3.65
Th 0.3283 0.1717 0.5000  6 Sm 3.27-3.42, 2 Th 3.65
Th 0.6717 0.8283 0.5000  6 Sm 3.27-3.42, 2 Th 3.65
Th 0.8283 0.3283 0.5000  6 Sm 3.27-3.42, 2 Th 3.65